No. 1
# CeAs2PtRh5 | Alexandria via LeMat-Bulk | PBE-GGA | optimized geometry
# DOS at the Fermi energy: 11.22 states/eV/f.u.
# energy of formation from the pure elements: -30 kJ/mol of atoms
data_CeAs2PtRh5
_chemical_formula_sum 'Ce1 As2 Pt1 Rh5'
_symmetry_space_group_name_H-M 'P 4/m m m'
_symmetry_Int_Tables_number 123
_symmetry_space_group_name_Hall '-P 4 2'
_cell_length_a 3.9732
_cell_length_b 3.9732
_cell_length_c 10.9755
_cell_angle_alpha 90.00
_cell_angle_beta 90.00
_cell_angle_gamma 90.00
loop_
_atom_site_label
_atom_site_type_symbol
_atom_site_fract_x
_atom_site_fract_y
_atom_site_fract_z
Ce1 Ce 0.0000 0.0000 0.0000
As1 As 0.5000 0.5000 0.2188
Pt1 Pt 0.0000 0.0000 0.5000
Rh1 Rh 0.0000 0.5000 0.3421
Rh2 Rh 0.5000 0.5000 0.0000

***

No. 2
# CeAs3PtRh2 | Alexandria via LeMat-Bulk | PBE-GGA | optimized geometry
# DOS at the Fermi energy: 5.61 states/eV/f.u.
# energy of formation from the pure elements: -51 kJ/mol of atoms
data_CeAs3PtRh2
_chemical_formula_sum 'Ce6 As18 Pt6 Rh12'
_symmetry_space_group_name_H-M 'R -3 m'
_symmetry_Int_Tables_number 166
_symmetry_space_group_name_Hall '-R 3 2"'
_cell_length_a 7.2786
_cell_length_b 7.2786
_cell_length_c 19.5299
_cell_angle_alpha 90.00
_cell_angle_beta 90.00
_cell_angle_gamma 120.00
loop_
_atom_site_label
_atom_site_type_symbol
_atom_site_fract_x
_atom_site_fract_y
_atom_site_fract_z
Ce1 Ce 0.0000 0.0000 0.2438
As1 As 0.0441 0.5221 0.2545
Pt1 Pt 0.0000 0.0000 0.1057
Rh1 Rh 0.0000 0.0000 0.5000
Rh2 Rh 0.0000 0.5000 0.0000

***

No. 3
# Ce4As3PtRh12 | Alexandria via LeMat-Bulk | PBE-GGA | optimized geometry
# DOS at the Fermi energy: 36.26 states/eV/f.u.
# energy of formation from the pure elements: -15 kJ/mol of atoms
data_Ce4As3PtRh12
_chemical_formula_sum 'Ce8 As6 Pt2 Rh24'
_symmetry_space_group_name_H-M 'I m -3 m'
_symmetry_Int_Tables_number 229
_symmetry_space_group_name_Hall '-I 4 2 3'
_cell_length_a 9.3305
_cell_length_b 9.3305
_cell_length_c 9.3305
_cell_angle_alpha 90.00
_cell_angle_beta 90.00
_cell_angle_gamma 90.00
loop_
_atom_site_label
_atom_site_type_symbol
_atom_site_fract_x
_atom_site_fract_y
_atom_site_fract_z
Ce1 Ce 0.2500 0.2500 0.2500
As1 As 0.0000 0.0000 0.5000
Pt1 Pt 0.0000 0.0000 0.0000
Rh1 Rh 0.0000 0.0000 0.2626
Rh2 Rh 0.0000 0.2500 0.5000

***

No. 4
# Ce2As4Ru3Pt | Alexandria via LeMat-Bulk | PBE-GGA | optimized geometry
# DOS at the Fermi energy: 8.50 states/eV/f.u.
# energy of formation from the pure elements: -71 kJ/mol of atoms
data_Ce2As4Ru3Pt
_chemical_formula_sum 'Ce2 As4 Ru3 Pt1'
_symmetry_space_group_name_H-M 'P -4 m 2'
_symmetry_Int_Tables_number 115
_symmetry_space_group_name_Hall 'P -4 -2'
_cell_length_a 4.2822
_cell_length_b 4.2822
_cell_length_c 9.9870
_cell_angle_alpha 90.00
_cell_angle_beta 90.00
_cell_angle_gamma 90.00
loop_
_atom_site_label
_atom_site_type_symbol
_atom_site_fract_x
_atom_site_fract_y
_atom_site_fract_z
Ce1 Ce 0.0000 0.5000 0.2422
As1 As 0.0000 0.0000 0.0000
As2 As 0.0000 0.5000 0.6421
As3 As 0.5000 0.5000 0.0000
Ru1 Ru 0.0000 0.5000 0.8813
Ru2 Ru 0.5000 0.5000 0.5000
Pt1 Pt 0.0000 0.0000 0.5000